(1)
Computed, not measured: a geometry-optimized Rb2FeCoS4 structure at the PBE level of DFT.

Results
**E_tot**: -5.0188 eV per atom
**SG**: Fddd, No. 70
**Size of the total moment**: 1.0 μB/f.u.
**Density**: 3.23 g/cm3

Lattice parameters (Å, degrees): 13.651 12.128 7.299 85.46 62.33 32.21
Positions (direct):
Rb 0.053 0.053 0.697
Rb 0.303 0.303 0.947
Rb 0.697 0.697 0.053
Rb 0.947 0.947 0.303
Fe 0.125 0.125 0.125
Fe 0.875 0.875 0.875
Co 0.375 0.375 0.375
Co 0.625 0.625 0.625
S 0.019 0.335 0.414
S 0.267 0.586 0.665
S 0.335 0.019 0.733
S 0.414 0.733 0.019
S 0.586 0.267 0.981
S 0.665 0.981 0.267
S 0.733 0.414 0.335
S 0.981 0.665 0.586


(2)
Computed, not measured: a geometry-optimized RbFe2CoS structure at the PBE level of DFT.

Results
**E_tot**: -5.1296 eV per atom
**SG**: P4/mmm, No. 123
**Size of the total moment**: 7.8 μB/f.u.
**Density**: 4.85 g/cm3

Lattice parameters (Å, degrees): 4.719 4.719 4.430 90.00 90.00 90.00
Positions (direct):
Rb 0.000 0.000 0.000
Fe 0.000 0.500 0.500
Fe 0.500 0.000 0.500
Co 0.500 0.500 0.500
S 0.500 0.500 0.000


(3)
Computed, not measured: a geometry-optimized RbScFeCo2 structure at the PBE level of DFT.

Results
**SG**: P4/mmm, No. 123
**Size of the total moment**: 5.4 μB/f.u.
**Density**: 4.19 g/cm3
**Energy of formation from the pure elements**: 1.3905 eV/atom

Lattice parameters (Å, degrees): 4.881 4.881 5.059 90.00 90.00 90.00
Positions (direct):
Rb 0.000 0.000 0.000
Sc 0.500 0.500 0.500
Fe 0.500 0.500 0.000
Co 0.000 0.500 0.500
Co 0.500 0.000 0.500


(4)
Computed, not measured: a geometry-optimized RbFe2CoW structure at the PBE level of DFT.

Results
**SG**: P4/mmm, No. 123
**Size of the total moment**: 0.0 μB/f.u.
**Density**: 9.10 g/cm3
**Energy of formation from the pure elements**: 3.1649 eV/atom

Lattice parameters (Å, degrees): 4.318 4.318 4.304 90.00 90.00 90.00
Positions (direct):
Rb 0.000 0.000 0.000
Fe 0.000 0.500 0.000
Fe 0.500 0.000 0.000
Co 0.000 0.000 0.500
W 0.500 0.500 0.500


(5)
Computed, not measured: a geometry-optimized Fe2CoRe structure at the PBE level of DFT.

Results
**SG**: P4mm, No. 99
**Size of the total moment**: 5.9 μB/f.u.
**Density**: 12.18 g/cm3
**Energy of formation from the pure elements**: 0.0630 eV/atom

Lattice parameters (Å, degrees): 2.803 2.803 6.191 90.00 90.00 90.00
Positions (direct):
Fe 0.000 0.000 0.000
Fe 0.500 0.500 0.232
Co 0.500 0.500 0.773
Re 0.000 0.000 0.494


(6)
Computed, not measured: a geometry-optimized FeCo2Re structure at the PBE level of DFT.

Results
**SG**: P4mm, No. 99
**Size of the total moment**: 4.6 μB/f.u.
**Density**: 12.42 g/cm3
**Energy of formation from the pure elements**: 0.0880 eV/atom
**Offset from the most stable computed form**: 0.0672 eV per atom

Lattice parameters (Å, degrees): 2.601 2.601 7.113 90.00 90.00 90.00
Positions (direct):
Fe 0.000 0.000 0.000
Co 0.000 0.000 0.532
Co 0.500 0.500 0.763
Re 0.500 0.500 0.272


Q: The highest density belongs to which entry?
A: FeCo2Re